1.
VASP calculation (PBE) on CsTlCu3 after structural relaxation.

Calculated values
energy of formation: 1515 meV per atom
excess energy over the best structure of this formula in the dataset: 0.981 eV per atom
theoretical density: 4.59 g/cm³
DOS at the Fermi energy: 1.53 states/eV/atom
space group: Pm-3m, No. 221
E: -7.933 eV for the cell shown

a = 5.7573 Å, b = 5.7573 Å, c = 5.7573 Å
α = 90.00°, β = 90.00°, γ = 90.00°
With the nearest neighbours (Å) after each atom.
Fractional coordinates of all 5 atoms:
Cs1 0.0000 0.0000 0.0000  6 Cu 2.88
Tl1 0.5000 0.5000 0.5000  12 Cu 4.07
Cu1 0.0000 0.0000 0.5000  2 Cs 2.88
Cu2 0.0000 0.5000 0.0000  2 Cs 2.88
Cu3 0.5000 0.0000 0.0000  2 Cs 2.88


2.
VASP calculation (PBE) on ZnCu2Tc after structural relaxation.

Calculated values
energy of formation: 168 meV per atom
theoretical density: 9.14 g/cm³
DOS at the Fermi energy: 0.63 states/eV/atom
space group: P4/mmm, No. 123
E: -19.160 eV for the cell shown

a = 3.7390 Å, b = 3.7390 Å, c = 3.7744 Å
α = 90.00°, β = 90.00°, γ = 90.00°
With the nearest neighbours (Å) after each atom.
Fractional coordinates of all 4 atoms:
Zn1 0.0000 0.0000 0.0000  4 Tc 2.64, 8 Cu 2.66
Cu1 0.0000 0.5000 0.5000  4 Cu 2.64, 4 Tc 2.66, 4 Zn 2.66
Cu2 0.5000 0.0000 0.5000  4 Cu 2.64, 4 Tc 2.66, 4 Zn 2.66
Tc1 0.5000 0.5000 0.0000  4 Zn 2.64, 8 Cu 2.66


3.
VASP calculation (PBE) on SrBiB2O6 after structural relaxation.

Calculated values
theoretical density: 4.99 g/cm³
DOS at the Fermi energy: 0.26 states/eV/atom
formation energy without anion corrections: -2180 meV/atom
space group: C2/c, No. 15
E: -140.925 eV for the cell shown

a = 6.6194 Å, b = 6.6194 Å, c = 6.6598 Å
α = 101.90°, β = 101.90°, γ = 96.33°
With the nearest neighbours (Å) after each atom.
Fractional coordinates of all 20 atoms:
Sr1 0.1188 0.8812 0.7500  6 O 2.52-2.64
Sr2 0.8812 0.1188 0.2500  6 O 2.52-2.64
Bi1 0.3266 0.6734 0.2500  6 O 2.27-2.31
Bi2 0.6734 0.3266 0.7500  6 O 2.27-2.31
B1 0.1788 0.3681 0.7736  3 O 1.37-1.40
B2 0.3681 0.1788 0.2736  3 O 1.37-1.40
B3 0.6319 0.8212 0.7264  3 O 1.37-1.40
B4 0.8212 0.6319 0.2264  3 O 1.37-1.40
O1 0.0182 0.7381 0.3431  1 B 1.40
O2 0.2081 0.5691 0.8919  1 B 1.37
O3 0.2436 0.3318 0.2532  1 B 1.38
O4 0.2619 0.9818 0.1569  1 B 1.40
O5 0.3318 0.2436 0.7532  1 B 1.38
O6 0.4309 0.7919 0.6081  1 B 1.37
O7 0.5691 0.2081 0.3919  1 B 1.37
O8 0.6682 0.7564 0.2468  1 B 1.38
O9 0.7381 0.0182 0.8431  1 B 1.40
O10 0.7564 0.6682 0.7468  1 B 1.38
O11 0.7919 0.4309 0.1081  1 B 1.37
O12 0.9818 0.2619 0.6569  1 B 1.40


4.
VASP calculation (PBE) on Ba4IrO6 after structural relaxation.

Calculated values
excess energy over the best structure of this formula in the dataset: 0.089 eV per atom
theoretical density: 6.54 g/cm³
DOS at the Fermi energy: 0.62 states/eV/atom
formation energy without anion corrections: -2008 meV/atom
space group: P4/mnc, No. 128
E: -136.782 eV for the cell shown

a = 7.4193 Å, b = 7.4193 Å, c = 7.7295 Å
α = 90.00°, β = 90.00°, γ = 90.00°
With the nearest neighbours (Å) after each atom.
Fractional coordinates of all 22 atoms:
Ba1 0.1772 0.3228 0.2500  6 O 2.70-2.78
Ba2 0.1772 0.3228 0.7500  6 O 2.70-2.78
Ba3 0.3228 0.8228 0.2500  6 O 2.70-2.78
Ba4 0.3228 0.8228 0.7500  6 O 2.70-2.78
Ba5 0.6772 0.1772 0.2500  6 O 2.70-2.78
Ba6 0.6772 0.1772 0.7500  6 O 2.70-2.78
Ba7 0.8228 0.6772 0.2500  6 O 2.70-2.78
Ba8 0.8228 0.6772 0.7500  6 O 2.70-2.78
Ir1 0.0000 0.0000 0.0000  6 O 2.04-2.14
Ir2 0.5000 0.5000 0.5000  6 O 2.04-2.14
O1 0.0000 0.0000 0.2633  1 Ir 2.04
O2 0.0000 0.0000 0.7367  1 Ir 2.04
O3 0.0886 0.7261 0.0000  1 Ir 2.14
O4 0.2261 0.5886 0.5000  1 Ir 2.14
O5 0.2739 0.0886 0.0000  1 Ir 2.14
O6 0.4114 0.2261 0.5000  1 Ir 2.14
O7 0.5000 0.5000 0.2367  1 Ir 2.04
O8 0.5000 0.5000 0.7633  1 Ir 2.04
O9 0.5886 0.7739 0.5000  1 Ir 2.14
O10 0.7261 0.9114 0.0000  1 Ir 2.14
O11 0.7739 0.4114 0.5000  1 Ir 2.14
O12 0.9114 0.2739 0.0000  1 Ir 2.14